Entry 1:
Below is Sr2YMg2 after structural relaxation, with properties calculated at the PBE level.

Properties
The total energy comes out at -2.504 eV/atom. As for the space-group type: P4/mbm (127). The formation energy is 0.099 eV/atom. The value obtained for the energy relative to the lowest polymorph listed for this composition is 0 meV per atom.

Unit cell a=8.496 b=8.496 c=5.260 alpha=90.00 beta=90.00 gamma=90.00
Fractional positions:
1 Sr 0.175 0.675 0.500
2 Y 0.000 0.000 0.000
3 Sr 0.825 0.325 0.500
4 Sr 0.325 0.175 0.500
5 Mg 0.873 0.627 0.000
6 Mg 0.373 0.873 0.000
7 Sr 0.675 0.825 0.500
8 Y 0.500 0.500 0.000
9 Mg 0.127 0.373 0.000
10 Mg 0.627 0.127 0.000

Entry 2:
Below is TiHSe2 after structural relaxation, with properties calculated at the PBE level.

Properties
The total energy comes out at -5.183 eV/atom. As for the space-group type: P2/c (13). The value obtained for the energy relative to the lowest polymorph listed for this composition is 34 meV per atom.

Unit cell a=3.572 b=6.289 c=6.251 alpha=98.39 beta=90.00 gamma=90.00
Fractional positions:
1 Se 0.518 0.997 0.479
2 Ti 0.525 0.704 0.728
3 H 0.282 0.954 0.228
4 Ti 0.040 0.204 0.728
5 H 0.282 0.454 0.228
6 Se 0.518 0.411 0.977
7 Se 0.046 0.911 0.977
8 Se 0.046 0.497 0.479

Entry 3:
Below is PtW2 after structural relaxation, with properties calculated at the PBE level.

Properties
The total energy comes out at -9.564 eV/atom. As for the space-group type: P4/mmm (123). The formation energy is 1.085 eV/atom. The value obtained for the energy relative to the lowest polymorph listed for this composition is 1162 meV per atom.

Unit cell a=4.599 b=4.599 c=2.713 alpha=90.00 beta=90.00 gamma=90.00
Fractional positions:
1 Pt 0.000 0.000 0.000
2 W 0.500 0.000 0.500
3 W 0.000 0.500 0.500

Number 1: magnetic moment 0.0000 μB per atom. Number 2: magnetic moment 0.0001 μB per atom. Number 3: magnetic moment 0.0000 μB per atom.